Material: KNbI2
Method: DFT, PBE
State: optimized geometry

a b c (Å): 6.760 6.760 9.532
angles (deg): 69.23 69.23 90.00
Atoms (fractional coordinates):
Nb: 0.000 0.000 0.000
Nb: 0.750 0.250 0.500
K: 0.250 0.750 0.500
K: 0.500 0.500 0.000
I: 0.375 0.299 0.750
I: 0.875 0.951 0.750
I: 0.701 0.125 0.250
I: 0.049 0.625 0.250

Results
The energy relative to the elements, uncorrected is -0.019 eV/atom. As for the space-group type: No. 122. The total magnetization is 4.00 μB per formula unit. Its offset from the most stable computed form is 0 meV/atom.

***

Material: Rb3MnBr6
Method: DFT, PBE
State: optimized geometry

a b c (Å): 7.873 8.611 11.269
angles (deg): 90.00 89.64 90.00
Atoms (fractional coordinates):
Rb: 0.968 0.421 0.755
Rb: 0.468 0.079 0.255
Rb: 0.032 0.579 0.245
Rb: 0.532 0.921 0.745
Rb: 0.500 0.500 0.000
Rb: 0.000 0.000 0.500
Br: 0.331 0.775 0.433
Br: 0.169 0.275 0.067
Br: 0.398 0.536 0.707
Br: 0.741 0.155 0.958
Br: 0.241 0.345 0.458
Br: 0.602 0.464 0.293
Br: 0.669 0.225 0.567
Br: 0.102 0.036 0.793
Br: 0.259 0.845 0.042
Br: 0.831 0.725 0.933
Br: 0.759 0.655 0.542
Br: 0.898 0.964 0.207
Mn: 0.500 0.500 0.500
Mn: 0.000 0.000 0.000

Results
The energy relative to the elements, uncorrected is -1.305 eV/atom. As for the space-group type: No. 14. The total magnetization is 4.00 μB per formula unit. Its offset from the most stable computed form is 0 meV/atom.

***

Material: Zr2B6W
Method: DFT, PBE
State: optimized geometry

a b c (Å): 3.462 5.421 5.421
angles (deg): 120.00 90.00 90.00
Atoms (fractional coordinates):
B: 0.500 0.328 0.000
B: 0.500 0.000 0.672
B: 0.500 0.000 0.328
B: 0.500 0.328 0.328
B: 0.500 0.672 0.672
B: 0.500 0.672 0.000
Zr: 0.000 0.333 0.667
Zr: 0.000 0.667 0.333
W: 0.000 0.000 0.000

Results
Its formation energy is -603 kJ/mol of formula units. As for the space-group type: No. 191. The total magnetization is 0.00 μB per formula unit.

***

Material: ZrCd2Se
Method: DFT, PBE
State: optimized geometry

a b c (Å): 5.478 5.478 3.473
angles (deg): 90.00 90.00 120.13
Atoms (fractional coordinates):
Cd: 0.000 0.000 0.000
Cd: 0.500 0.500 0.000
Zr: 0.000 0.500 0.500
Se: 0.500 0.000 0.500

Results
The energy relative to the elements, uncorrected is -0.221 eV/atom. As for the space-group type: No. 65. The total magnetization is 0.00 μB per formula unit.

***

Material: NaTlGe
Method: DFT, PBE
State: optimized geometry

a b c (Å): 4.783 4.783 7.773
angles (deg): 90.00 90.00 120.00
Atoms (fractional coordinates):
Ge: 0.000 0.000 0.672
Ge: 0.000 0.000 0.328
Na: 0.667 0.333 0.000
Na: 0.667 0.333 0.500
Tl: 0.333 0.667 0.792
Tl: 0.333 0.667 0.208

Results
Its formation energy is -5 kJ/mol of formula units. As for the space-group type: No. 187. The total magnetization is 0.00 μB per formula unit.

***

Material: ScOs2Pb2
Method: DFT, PBE
State: optimized geometry

a b c (Å): 6.105 6.105 6.105
angles (deg): 134.49 134.49 66.32
Atoms (fractional coordinates):
Os: 0.387 0.387 0.000
Os: 0.613 0.613 0.000
Pb: 0.250 0.750 0.500
Pb: 0.750 0.250 0.500
Sc: 0.000 0.000 0.000

Results
Its formation energy is 297 kJ/mol of formula units. As for the space-group type: No. 139. The total magnetization is 0.00 μB per formula unit. Its offset from the most stable computed form is 0 meV/atom.

***

Material: Ba4TeH6
Method: DFT, PBE
State: optimized geometry

a b c (Å): 4.228 8.265 8.265
angles (deg): 120.00 90.00 90.00
Atoms (fractional coordinates):
H: 0.500 0.204 0.408
H: 0.500 0.204 0.796
H: 0.000 0.917 0.459
H: 0.500 0.592 0.796
H: 0.000 0.541 0.459
H: 0.000 0.541 0.083
Ba: 0.000 0.333 0.667
Ba: 0.500 0.822 0.643
Ba: 0.500 0.822 0.178
Ba: 0.500 0.357 0.178
Te: 0.000 0.000 0.000

Results
As for the space-group type: No. 187. The total energy comes out at -3.45 eV per atom. The total magnetization is 0.00 μB per formula unit.

***

Material: SrSm2PdO5
Method: DFT, PBE
State: optimized geometry

a b c (Å): 5.893 6.662 6.662
angles (deg): 90.00 90.00 90.00
Atoms (fractional coordinates):
O: 0.500 0.000 0.000
O: 0.500 0.500 0.500
O: 0.749 0.356 0.144
O: 0.251 0.856 0.356
O: 0.251 0.356 0.144
O: 0.749 0.644 0.856
O: 0.251 0.144 0.644
O: 0.749 0.856 0.356
O: 0.251 0.644 0.856
O: 0.749 0.144 0.644
Sr: 0.000 0.500 0.500
Sr: 0.000 0.000 0.000
Pd: 0.000 0.500 0.000
Pd: 0.000 0.000 0.500
Sm: 0.500 0.327 0.827
Sm: 0.500 0.173 0.327
Sm: 0.500 0.827 0.673
Sm: 0.500 0.673 0.173

Results
The energy relative to the elements, uncorrected is -2.602 eV/atom. As for the space-group type: No. 127. The total magnetization is 0.00 μB per formula unit.

***

Material: TiCu4Pd3
Method: DFT, PBE
State: optimized geometry

a b c (Å): 3.820 3.867 12.376
angles (deg): 141.38 98.88 90.00
Atoms (fractional coordinates):
Cu: 0.125 0.626 0.251
Cu: 0.875 0.374 0.749
Cu: 0.375 0.873 0.749
Cu: 0.625 0.127 0.251
Pd: 0.000 0.500 0.000
Pd: 0.248 0.741 0.496
Pd: 0.752 0.259 0.504
Ti: 0.500 0.000 0.000

Results
Its formation energy is -137 kJ/mol of formula units. As for the space-group type: No. 71. The total magnetization is 0.00 μB per formula unit.

***

Material: ReAu
Method: DFT, PBE
State: optimized geometry

a b c (Å): 2.820 2.819 9.754
angles (deg): 90.08 98.12 119.99
Atoms (fractional coordinates):
Au: 0.239 0.622 0.365
Au: 0.761 0.378 0.635
Re: 0.404 0.202 0.108
Re: 0.596 0.798 0.892

Results
Its formation energy is 36 kJ/mol of formula units. As for the space-group type: No. 2. The total magnetization is 0.00 μB per formula unit. Its offset from the most stable computed form is 44 meV/atom.

***

Material: MgAs2Pb2
Method: DFT, PBE
State: optimized geometry

a b c (Å): 3.759 3.759 9.711
angles (deg): 78.84 78.84 90.00
Atoms (fractional coordinates):
Pb: 0.396 0.396 0.208
Pb: 0.604 0.604 0.792
As: 0.750 0.250 0.500
As: 0.250 0.750 0.500
Mg: 0.000 0.000 0.000

Results
Its formation energy is 59 kJ/mol of formula units. As for the space-group type: No. 139. The total magnetization is 0.00 μB per formula unit. Its offset from the most stable computed form is 137 meV/atom.

***

Material: ScMoCl2
Method: DFT, PBE
State: optimized geometry

a b c (Å): 3.254 3.254 8.482
angles (deg): 90.00 90.00 124.54
Atoms (fractional coordinates):
Cl: 0.000 0.000 0.488
Cl: 0.000 0.000 0.012
Mo: 0.500 0.500 0.250
Sc: 0.500 0.500 0.750

Results
The energy relative to the elements, uncorrected is -0.110 eV/atom. As for the space-group type: No. 65. The total magnetization is 0.77 μB per formula unit. Its offset from the most stable computed form is 700 meV/atom.

***

Material: Pm3Tl2Co
Method: DFT, PBE
State: optimized geometry

a b c (Å): 5.259 7.454 9.606
angles (deg): 112.79 105.87 90.01
Atoms (fractional coordinates):
Pm: 0.500 0.250 0.000
Pm: 0.126 0.626 0.253
Pm: 0.500 0.750 0.000
Pm: 0.874 0.874 0.747
Pm: 0.126 0.126 0.253
Pm: 0.874 0.374 0.747
Co: 0.000 0.750 0.000
Co: 0.000 0.250 0.000
Tl: 0.305 0.056 0.611
Tl: 0.695 0.944 0.389
Tl: 0.305 0.556 0.611
Tl: 0.695 0.444 0.389

Results
Its formation energy is -121 kJ/mol of formula units. As for the space-group type: No. 65. The total magnetization is 0.00 μB per formula unit.

***

Material: NbCrGe
Method: DFT, PBE
State: optimized geometry

a b c (Å): 6.773 6.773 3.367
angles (deg): 90.00 90.00 120.00
Atoms (fractional coordinates):
Nb: 0.596 0.000 0.500
Nb: 0.000 0.596 0.500
Nb: 0.404 0.404 0.500
Cr: 0.256 0.000 0.000
Cr: 0.744 0.744 0.000
Cr: 0.000 0.256 0.000
Ge: 0.667 0.333 0.000
Ge: 0.000 0.000 0.500
Ge: 0.333 0.667 0.000

Results
Its formation energy is -83 kJ/mol of formula units. As for the space-group type: No. 189. The total magnetization is 0.00 μB per formula unit.

***

Material: Ta2PbAu
Method: DFT, PBE
State: optimized geometry

a b c (Å): 2.975 2.975 9.330
angles (deg): 90.00 90.00 90.00
Atoms (fractional coordinates):
Au: 0.000 0.000 0.468
Pb: 0.500 0.500 0.756
Ta: 0.000 0.000 0.021
Ta: 0.500 0.500 0.256

Results
Its formation energy is 84 kJ/mol of formula units. As for the space-group type: No. 99. The total magnetization is 0.00 μB per formula unit.

***

Material: GeP2OF
Method: DFT, PBE
State: optimized geometry

a b c (Å): 3.997 3.997 4.751
angles (deg): 90.00 90.00 90.00
Atoms (fractional coordinates):
Ge: 0.500 0.500 0.500
O: 0.000 0.000 0.500
P: 0.000 0.500 0.000
P: 0.500 0.000 0.000
F: 0.000 0.000 0.000

Results
The energy relative to the elements, uncorrected is 0.646 eV/atom. As for the space-group type: No. 123. The total magnetization is 0.00 μB per formula unit. Its offset from the most stable computed form is 312 meV/atom.

***

Material: Dy8Y6Al
Method: DFT, PBE
State: optimized geometry

a b c (Å): 6.232 9.368 9.368
angles (deg): 120.00 90.00 90.00
Atoms (fractional coordinates):
Dy: 0.196 0.261 0.218
Dy: 0.193 0.667 0.333
Dy: 0.804 0.739 0.782
Dy: 0.196 0.958 0.739
Dy: 0.196 0.782 0.042
Dy: 0.807 0.333 0.667
Dy: 0.804 0.218 0.958
Dy: 0.804 0.042 0.261
Y: 0.311 0.361 0.907
Y: 0.689 0.907 0.546
Y: 0.311 0.546 0.639
Y: 0.311 0.093 0.454
Y: 0.689 0.639 0.093
Y: 0.689 0.454 0.361
Al: 0.500 0.000 0.000

Results
Its formation energy is 132 kJ/mol of formula units. As for the space-group type: No. 147. The total magnetization is 0.00 μB per formula unit.

***

Material: Zr3CdP
Method: DFT, PBE
State: optimized geometry

a b c (Å): 4.893 4.893 4.893
angles (deg): 90.00 90.00 90.00
Atoms (fractional coordinates):
P: 0.000 0.000 0.000
Zr: 0.500 0.000 0.000
Zr: 0.000 0.500 0.000
Zr: 0.000 0.000 0.500
Cd: 0.500 0.500 0.500

Results
Its formation energy is -179 kJ/mol of formula units. As for the space-group type: No. 221. The total magnetization is 0.00 μB per formula unit. Its offset from the most stable computed form is 0 meV/atom.

***

Material: Cs4Ge3PbI12
Method: DFT, PBE
State: optimized geometry

a b c (Å): 10.557 10.557 10.557
angles (deg): 109.47 109.47 109.47
Atoms (fractional coordinates):
I: 0.259 0.000 0.259
I: 0.500 0.250 0.750
I: 0.259 0.259 0.000
I: 0.500 0.750 0.250
I: 0.000 0.259 0.259
I: 0.750 0.250 0.500
I: 0.741 0.741 0.000
I: 0.250 0.500 0.750
I: 0.250 0.750 0.500
I: 0.750 0.500 0.250
I: 0.741 0.000 0.741
I: 0.000 0.741 0.741
Cs: 0.500 0.500 0.500
Cs: 0.500 0.000 0.000
Cs: 0.000 0.500 0.000
Cs: 0.000 0.000 0.500
Ge: 0.500 0.000 0.500
Ge: 0.500 0.500 0.000
Ge: 0.000 0.500 0.500
Pb: 0.000 0.000 0.000

Results
The energy relative to the elements, uncorrected is -0.858 eV/atom. As for the space-group type: No. 229. The total magnetization is 0.00 μB per formula unit.

***

Material: LiYCd4
Method: DFT, PBE
State: optimized geometry

a b c (Å): 4.901 4.901 6.620
angles (deg): 90.00 90.00 120.00
Atoms (fractional coordinates):
Y: 0.000 0.000 0.500
Li: 0.000 0.000 0.000
Cd: 0.333 0.667 0.237
Cd: 0.333 0.667 0.763
Cd: 0.667 0.333 0.237
Cd: 0.667 0.333 0.763

Results
Its formation energy is -141 kJ/mol of formula units. As for the space-group type: No. 191. The total magnetization is 0.00 μB per formula unit. Its offset from the most stable computed form is 0 meV/atom.